No. 1
# DyGe3Rh3

An optimized crystal structure of DyGe3Rh3 (GGA-PBE, the Alexandria database).

Values from the calculation:
DOS(E_F), states/eV/cell: 11.6
SG: Pm-3n
VASP energy, eV/atom: -6.0254
ΔH_f (0 K), eV per atom: -0.2385

Cell: 6.6793 6.6793 6.6793 Å, 90.00 90.00 90.00°
Sites, in units of the cell vectors:
1 Dy 0.0000 0.0000 0.0000
2 Dy 0.5000 0.5000 0.5000
3 Ge 0.0000 0.2500 0.5000
4 Ge 0.0000 0.7500 0.5000
5 Ge 0.2500 0.5000 0.0000
6 Ge 0.5000 0.0000 0.2500
7 Ge 0.5000 0.0000 0.7500
8 Ge 0.7500 0.5000 0.0000
9 Rh 0.0000 0.5000 0.2500
10 Rh 0.0000 0.5000 0.7500
11 Rh 0.2500 0.0000 0.5000
12 Rh 0.5000 0.2500 0.0000
13 Rh 0.5000 0.7500 0.0000
14 Rh 0.7500 0.0000 0.5000

No. 2
# TbHo2Mg6

An optimized crystal structure of TbHo2Mg6 (GGA-PBE, the Alexandria database).

Values from the calculation:
DOS(E_F), states/eV/cell: 12.0
SG: I-42m
VASP energy, eV/atom: -2.1453
ΔH_f (0 K), eV per atom: 0.4495

Cell: 8.7075 8.7075 8.7075 Å, 138.63 138.63 59.94°
Sites, in units of the cell vectors:
1 Tb 0.0000 0.0000 0.0000
2 Ho 0.2077 0.2077 0.0000
3 Ho 0.7923 0.7923 0.0000
4 Mg 0.2355 0.5724 0.0000
5 Mg 0.2500 0.7500 0.5000
6 Mg 0.4276 0.4276 0.6631
7 Mg 0.5724 0.2355 0.0000
8 Mg 0.7500 0.2500 0.5000
9 Mg 0.7645 0.7645 0.3369

No. 3
# Th2PaCd

An optimized crystal structure of Th2PaCd (GGA-PBE, the Alexandria database).

Values from the calculation:
DOS(E_F), states/eV/cell: 7.2
SG: P4/mmm
VASP energy, eV/atom: -6.2048
ΔH_f (0 K), eV per atom: 0.1079

Cell: 3.9761 3.9761 7.1783 Å, 90.00 90.00 90.00°
Sites, in units of the cell vectors:
1 Th 0.0000 0.0000 0.2447
2 Th 0.0000 0.0000 0.7553
3 Pa 0.5000 0.5000 0.0000
4 Cd 0.5000 0.5000 0.5000

No. 4
# PmGdAu

An optimized crystal structure of PmGdAu (GGA-PBE, the Alexandria database).

Values from the calculation:
DOS(E_F), states/eV/cell: 2.2
SG: P3m1
VASP energy, eV/atom: -7.7600
ΔH_f (0 K), eV per atom: -0.3904

Cell: 4.9577 4.9577 3.8709 Å, 90.00 90.00 120.00°
Sites, in units of the cell vectors:
1 Pm 0.0000 0.0000 0.0000
2 Gd 0.6667 0.3333 0.4494
3 Au 0.3333 0.6667 0.7056

No. 5
# MgNi4P2

An optimized crystal structure of MgNi4P2 (GGA-PBE, the Alexandria database).

Values from the calculation:
DOS(E_F), states/eV/cell: 5.6
SG: P4_2/mnm
VASP energy, eV/atom: -5.6245
ΔH_f (0 K), eV per atom: -0.5474

Cell: 7.0656 7.0656 3.4705 Å, 90.00 90.00 90.00°
Sites, in units of the cell vectors:
1 Mg 0.0000 0.0000 0.0000
2 Mg 0.5000 0.5000 0.5000
3 Ni 0.0712 0.3215 0.5000
4 Ni 0.1785 0.5712 0.0000
5 Ni 0.3215 0.0712 0.5000
6 Ni 0.4288 0.8215 0.0000
7 Ni 0.5712 0.1785 0.0000
8 Ni 0.6785 0.9288 0.5000
9 Ni 0.8215 0.4288 0.0000
10 Ni 0.9288 0.6785 0.5000
11 P 0.2315 0.7685 0.5000
12 P 0.2685 0.2685 0.0000
13 P 0.7315 0.7315 0.0000
14 P 0.7685 0.2315 0.5000

No. 6
# Y2Ho6Th

An optimized crystal structure of Y2Ho6Th (GGA-PBE, the Alexandria database).

Values from the calculation:
DOS(E_F), states/eV/cell: 17.1
SG: P-6m2
VASP energy, eV/atom: -5.2520
ΔH_f (0 K), eV per atom: 0.0607

Cell: 3.5701 3.5701 26.1194 Å, 90.00 90.00 120.00°
Sites, in units of the cell vectors:
1 Y 0.0000 0.0000 0.1719
2 Y 0.0000 0.0000 0.8281
3 Ho 0.0000 0.0000 0.3896
4 Ho 0.0000 0.0000 0.6104
5 Ho 0.6667 0.3333 0.0646
6 Ho 0.6667 0.3333 0.2816
7 Ho 0.6667 0.3333 0.7184
8 Ho 0.6667 0.3333 0.9354
9 Th 0.6667 0.3333 0.5000

No. 7
# Er2PuN

An optimized crystal structure of Er2PuN (GGA-PBE, the Alexandria database).

Values from the calculation:
DOS(E_F), states/eV/cell: 7.7
Energy relative to the elements, uncorrected, kJ per mole of atoms: -18.06
SG: P4/mmm
VASP energy, eV/atom: -8.1329

Cell: 3.0817 3.0817 8.6651 Å, 90.00 90.00 90.00°
Sites, in units of the cell vectors:
1 Er 0.0000 0.0000 0.1635
2 Er 0.0000 0.0000 0.8365
3 Pu 0.5000 0.5000 0.5000
4 N 0.5000 0.5000 0.0000

No. 8
# InGePd2

An optimized crystal structure of InGePd2 (GGA-PBE, the Alexandria database).

Values from the calculation:
DOS(E_F), states/eV/cell: 2.6
SG: R3m
VASP energy, eV/atom: -4.7773
ΔH_f (0 K), eV per atom: -0.3419

Cell: 5.5102 5.5102 5.5102 Å, 44.34 44.34 44.34°
Sites, in units of the cell vectors:
1 In 0.0000 0.0000 0.0000
2 Ge 0.1852 0.1852 0.1852
3 Pd 0.5704 0.5704 0.5704
4 Pd 0.7787 0.7787 0.7787